Record 1
Here is a geometry-optimized Ca5Zn2Pd structure from Alexandria via LeMat-Bulk. Energies are from PBE.

a b c (Å): 7.568 7.568 9.535
angles (deg): 113.38 113.38 90.00
Atoms (fractional coordinates):
Ca1 0.525 0.672 0.697
Ca2 0.828 0.975 0.303
Ca3 0.000 0.000 0.000
Ca4 0.500 0.500 0.000
Ca5 0.172 0.025 0.697
Ca6 0.672 0.172 0.697
Ca7 0.025 0.525 0.697
Ca8 0.328 0.828 0.303
Ca9 0.975 0.475 0.303
Ca10 0.475 0.328 0.303
Zn1 0.116 0.384 0.000
Zn2 0.616 0.116 0.000
Zn3 0.384 0.884 0.000
Zn4 0.884 0.616 0.000
Pd1 0.750 0.750 0.500
Pd2 0.250 0.250 0.500

DOS(E_F): 9.122 states/eV/cell
Calculated total energy: -0.1866 Ry/atom
Magnetic moment: 0.000 μB/f.u.
E_form: -0.320 eV per atom



Record 2
Here is a geometry-optimized Ce6C2NO3 structure from Alexandria via LeMat-Bulk. Energies are from PBE.

a b c (Å): 6.227 6.227 6.172
angles (deg): 99.68 99.68 120.02
Atoms (fractional coordinates):
Ce1 0.917 0.586 0.750
Ce2 0.752 0.752 0.249
Ce3 0.083 0.414 0.250
Ce4 0.586 0.917 0.750
Ce5 0.248 0.248 0.751
Ce6 0.414 0.083 0.250
C1 0.334 0.666 0.000
C2 0.666 0.334 0.000
N1 0.000 0.000 0.000
O1 0.170 0.830 0.500
O2 0.830 0.170 0.500
O3 0.500 0.500 0.500

DOS(E_F): 14.544 states/eV/cell
Formation energy (no corrections): -1.801 eV/atom
Calculated total energy: -0.6055 Ry/atom
Magnetic moment: 0.001 μB/f.u.



Record 3
Here is a geometry-optimized Er6AlSe5 structure from Alexandria via LeMat-Bulk. Energies are from PBE.

a b c (Å): 7.061 7.061 7.061
angles (deg): 99.61 99.61 119.71
Atoms (fractional coordinates):
Al1 0.000 0.000 0.000
Se1 0.830 0.170 0.500
Se2 0.666 0.334 0.000
Se3 0.500 0.500 0.500
Se4 0.334 0.666 0.000
Se5 0.170 0.830 0.500
Er1 0.408 0.081 0.245
Er2 0.919 0.592 0.755
Er3 0.244 0.244 0.755
Er4 0.756 0.756 0.245
Er5 0.081 0.408 0.245
Er6 0.592 0.919 0.755

DOS(E_F): 4.937 states/eV/cell
Formation energy (no corrections): -1.485 eV/atom
Calculated total energy: -0.4064 Ry/atom
Magnetic moment: 0.000 μB/f.u.



Record 4
Here is a geometry-optimized PrDyZnPd structure from Alexandria via LeMat-Bulk. Energies are from PBE.

a b c (Å): 5.112 5.112 5.112
angles (deg): 60.00 60.00 60.00
Atoms (fractional coordinates):
Pr1 0.250 0.250 0.250
Zn1 0.000 0.000 0.000
Pd1 0.500 0.500 0.500
Dy1 0.750 0.750 0.750

DOS(E_F): 3.158 states/eV/cell
Calculated total energy: -0.3301 Ry/atom
Magnetic moment: 0.000 μB/f.u.
E_form: -0.529 eV per atom
E above lowest polymorph: 38 meV/atom



Record 5
Here is a geometry-optimized RbPa2RhO8 structure from Alexandria via LeMat-Bulk. Energies are from PBE.

a b c (Å): 5.379 5.379 7.860
angles (deg): 90.00 90.00 120.00
Atoms (fractional coordinates):
Rb1 0.000 0.000 0.500
Pa1 0.667 0.333 0.118
Pa2 0.333 0.667 0.882
Rh1 0.000 0.000 0.000
O1 0.822 0.643 0.871
O2 0.357 0.178 0.871
O3 0.822 0.178 0.871
O4 0.178 0.357 0.129
O5 0.643 0.822 0.129
O6 0.178 0.822 0.129
O7 0.667 0.333 0.356
O8 0.333 0.667 0.644

DOS(E_F): 5.617 states/eV/cell
Formation energy (no corrections): -2.190 eV/atom
Calculated total energy: -0.5712 Ry/atom
Magnetic moment: 1.885 μB/f.u.